CeTiTlIn: relaxed, PBE-GGA.

a b c (Å): 5.193 5.193 5.193
angles (deg): 60.00 60.00 60.00
Last column: magnetic moment on the atom in μB.
Sites, in units of the cell vectors:
Tl1 0.750 0.750 0.750  0.00
Ti1 0.000 0.000 0.000  1.37
Ce1 0.500 0.500 0.500  0.81
In1 0.250 0.250 0.250  -0.01

Properties
calculated formation energy: -0.0789 eV/atom
Fermi-level density of states: 1.8827 states/eV/atom
symmetry: No. 216